No. 1
Material: MgIn2SnF
Method: DFT, GGA-PBE
State: optimized geometry

Cell: 5.7745 5.4801 5.7745 Å, 90.00 90.00 90.00°
Closest atoms and distances in Å follow each position.
Atoms (fractional coordinates):
1 Mg 0.0000 0.5000 0.0000  2 Sn 2.74
2 F 0.5000 0.5000 0.5000  8 In 3.98, 4 Mg 4.08
3 Sn 0.0000 0.0000 0.0000  2 Mg 2.74, 4 In 2.89
4 In 0.0000 0.0000 0.5000  2 Sn 2.89
5 In 0.5000 0.0000 0.0000  2 Sn 2.89

Calculated values
The total DFT energy (no corrections) comes out at -13.09 eV per cell. Its space group is No. 123. The value obtained for the density of states at the Fermi level is 0.495 states/eV per atom. The calculation puts the raw formation energy at -0.03 eV per atom.

=====

No. 2
Material: Pm3Te6As
Method: DFT, GGA-PBE
State: optimized geometry

Cell: 7.6549 9.7052 9.7052 Å, 102.04 90.00 90.00°
Closest atoms and distances in Å follow each position.
Atoms (fractional coordinates):
1 Pm 0.4818 0.9141 0.7226  7 Te 3.12-3.33
2 Pm 0.9818 0.7226 0.9141  7 Te 3.12-3.33
3 Pm 0.3805 0.4037 0.5963  7 Te 3.17-3.38
4 Pm 0.8805 0.5963 0.4037  7 Te 3.17-3.38
5 Pm 0.9818 0.0859 0.2774  7 Te 3.12-3.33
6 Pm 0.4818 0.2774 0.0859  7 Te 3.12-3.33
7 Te 0.1806 0.6981 0.6267  4 Pm 3.12-3.20
8 Te 0.6806 0.6267 0.6981  4 Pm 3.12-3.20
9 Te 0.2107 0.4389 0.9056  1 As 2.71
10 Te 0.7107 0.9056 0.4389  1 As 2.71
11 Te 0.1879 0.0314 0.9686  1 As 2.80
12 Te 0.6395 0.2221 0.7779  1 As 3.02, 2 Pm 3.16
13 Te 0.1395 0.7779 0.2221  1 As 3.02, 2 Pm 3.16
14 Te 0.6879 0.9686 0.0314  1 As 2.80
15 Te 0.2107 0.0944 0.5611  1 As 2.71
16 Te 0.7107 0.5611 0.0944  1 As 2.71
17 Te 0.1806 0.3733 0.3019  4 Pm 3.12-3.20
18 Te 0.6806 0.3019 0.3733  4 Pm 3.12-3.20
19 As 0.0312 0.1991 0.8009  4 Te 2.71-3.02
20 As 0.5312 0.8009 0.1991  4 Te 2.71-3.02

Calculated values
The total DFT energy (no corrections) comes out at -96.03 eV per cell. Its space group is No. 36. The calculation puts the raw formation energy at -1.03 eV per atom.

=====

No. 3
Material: Y2MnFeSb
Method: DFT, GGA-PBE
State: optimized geometry

Cell: 5.2489 4.2623 5.2489 Å, 90.00 90.00 90.00°
Closest atoms and distances in Å follow each position.
Atoms (fractional coordinates):
1 Y 0.0000 0.0000 0.5000  2 Fe 2.62
2 Y 0.5000 0.0000 0.0000  2 Fe 2.62
3 Sb 0.5000 0.5000 0.5000  8 Y 3.38, 4 Mn 3.71
4 Mn 0.0000 0.5000 0.0000  2 Fe 2.13
5 Fe 0.0000 0.0000 0.0000  2 Mn 2.13

Calculated values
The total DFT energy (no corrections) comes out at -34.74 eV per cell. Its space group is No. 123. The value obtained for the density of states at the Fermi level is 0.842 states/eV per atom. The calculation puts the raw formation energy at -0.01 eV per atom.

=====

No. 4
Material: SbPW
Method: DFT, GGA-PBE
State: optimized geometry

Cell: 4.2856 4.2856 3.4381 Å, 90.00 90.00 120.00°
Closest atoms and distances in Å follow each position.
Atoms (fractional coordinates):
1 Sb 0.3333 0.6667 0.0000  6 P 3.01, 6 W 3.01
2 P 0.0000 0.0000 0.5000  3 W 2.47
3 W 0.6667 0.3333 0.5000  3 P 2.47

Calculated values
The total DFT energy (no corrections) comes out at -21.40 eV per cell. As for the polymorph energy (0 for the lowest one): 255 meV per atom. Its space group is No. 187. The value obtained for the density of states at the Fermi level is 0.865 states/eV per atom. The calculation puts the raw formation energy at 0.36 eV per atom.

=====

No. 5
Material: Ta7Zn6
Method: DFT, GGA-PBE
State: optimized geometry

Cell: 9.8622 9.8622 9.8622 Å, 32.18 32.18 32.18°
Closest atoms and distances in Å follow each position.
Atoms (fractional coordinates):
1 Zn 0.9431 0.9431 0.9431  1 Zn 2.72, 6 Ta 2.86
2 Zn 0.0569 0.0569 0.0569  1 Zn 2.72, 6 Ta 2.86
3 Zn 0.8459 0.8459 0.8459  1 Zn 2.72, 3 Ta 3.04
4 Zn 0.1541 0.1541 0.1541  1 Zn 2.72, 3 Ta 3.04
5 Zn 0.6665 0.6665 0.6665  6 Ta 2.89-2.90, 3 Zn 3.16
6 Zn 0.3335 0.3335 0.3335  6 Ta 2.89-2.90, 3 Zn 3.16
7 Ta 0.9126 0.4136 0.4136  5 Ta 2.73-2.74, 5 Zn 2.86-3.04
8 Ta 0.4136 0.4136 0.9126  5 Ta 2.73-2.74, 5 Zn 2.86-3.04
9 Ta 0.4136 0.9126 0.4136  5 Ta 2.73-2.74, 5 Zn 2.86-3.04
10 Ta 0.0874 0.5864 0.5864  5 Ta 2.73-2.74, 5 Zn 2.86-3.04
11 Ta 0.5864 0.0874 0.5864  5 Ta 2.73-2.74, 5 Zn 2.86-3.04
12 Ta 0.5864 0.5864 0.0874  5 Ta 2.73-2.74, 5 Zn 2.86-3.04
13 Ta 0.5000 0.5000 0.5000  6 Ta 2.74

Calculated values
The total DFT energy (no corrections) comes out at -85.49 eV per cell. Its space group is No. 166. The formation energy comes out at 0.394 eV/atom. The value obtained for the density of states at the Fermi level is 0.644 states/eV per atom.

=====

No. 6
Material: LiCaZr2
Method: DFT, GGA-PBE
State: optimized geometry

Cell: 6.2833 6.2833 6.2833 Å, 150.17 125.43 63.43°
Closest atoms and distances in Å follow each position.
Atoms (fractional coordinates):
1 Ca 0.4821 0.4821 0.0000  2 Li 3.04, 2 Ca 3.23, 4 Zr 3.31
2 Li 0.2411 0.7411 0.5000  6 Zr 2.98-3.32, 2 Ca 3.04, 2 Li 3.23
3 Zr 0.0070 0.0070 0.0000  2 Li 2.98, 4 Zr 3.01-3.23, 4 Ca 3.31
4 Zr 0.7697 0.2697 0.5000  4 Zr 3.01-3.23, 4 Li 3.32

Calculated values
The total DFT energy (no corrections) comes out at -19.47 eV per cell. As for the polymorph energy (0 for the lowest one): 216 meV per atom. Its space group is No. 44. The formation energy comes out at 0.386 eV/atom. The value obtained for the density of states at the Fermi level is 1.185 states/eV per atom.

=====

No. 7
Material: SrCo2
Method: DFT, GGA-PBE
State: optimized geometry

Cell: 3.8801 3.8801 4.7258 Å, 90.00 90.00 120.00°
Closest atoms and distances in Å follow each position.
Atoms (fractional coordinates):
1 Co 0.6667 0.3333 0.5001  3 Co 2.24
2 Co 0.3333 0.6667 0.4999  3 Co 2.24
3 Sr 0.0000 0.0000 0.0000  12 Co 3.26

Calculated values
The total DFT energy (no corrections) comes out at -15.12 eV per cell. Its space group is No. 191. The formation energy comes out at 0.258 eV/atom. The value obtained for the density of states at the Fermi level is 0.643 states/eV per atom.

=====

No. 8
Material: Ta2Co3Ni
Method: DFT, GGA-PBE
State: optimized geometry

Cell: 7.8818 7.8818 7.9557 Å, 119.69 119.69 90.00°
Closest atoms and distances in Å follow each position.
Atoms (fractional coordinates):
1 Ta 0.9040 0.7072 0.8081  2 Ni 2.51-2.58, 7 Co 2.53-2.55
2 Ta 0.3459 0.6491 0.6919  2 Ni 2.51-2.58, 7 Co 2.53-2.55
3 Ta 0.2928 0.0959 0.1919  2 Ni 2.51-2.58, 7 Co 2.53-2.55
4 Ta 0.3509 0.6541 0.3081  2 Ni 2.51-2.58, 7 Co 2.53-2.55
5 Ta 0.8992 0.0960 0.1919  2 Ni 2.51-2.58, 7 Co 2.53-2.55
6 Ta 0.9572 0.6540 0.3081  2 Ni 2.51-2.58, 7 Co 2.53-2.55
7 Ta 0.3459 0.0428 0.6919  2 Ni 2.51-2.58, 7 Co 2.53-2.55
8 Ta 0.9040 0.1009 0.8081  2 Ni 2.51-2.58, 7 Co 2.53-2.55
9 Co 0.2785 0.7214 0.0000  4 Ta 2.53-2.55, 2 Co 2.62, 2 Ni 2.82
10 Co 0.1250 0.8750 0.2500  6 Ta 2.53-2.54, 2 Ni 2.62, 4 Co 2.62
11 Co 0.1250 0.3750 0.2500  6 Ta 2.53-2.54, 2 Ni 2.62, 4 Co 2.62
12 Co 0.7214 0.7215 0.0000  4 Ta 2.53-2.55, 2 Co 2.62, 2 Ni 2.82
13 Co 0.7214 0.2785 0.0000  4 Ta 2.53-2.55, 2 Co 2.62, 2 Ni 2.82
14 Co 0.9714 0.4714 0.5000  4 Ta 2.53-2.55, 2 Co 2.62, 2 Ni 2.82
15 Co 0.6250 0.8750 0.7500  6 Ta 2.53-2.54, 2 Ni 2.62, 4 Co 2.62
16 Co 0.1250 0.8750 0.7500  6 Ta 2.53-2.54, 2 Ni 2.62, 4 Co 2.62
17 Co 0.5285 0.0286 0.5000  4 Ta 2.53-2.55, 2 Co 2.62, 2 Ni 2.82
18 Co 0.5285 0.4714 0.5000  4 Ta 2.53-2.55, 2 Co 2.62, 2 Ni 2.82
19 Co 0.2785 0.2786 0.0000  4 Ta 2.53-2.55, 2 Co 2.62, 2 Ni 2.82
20 Co 0.9714 0.0285 0.5000  4 Ta 2.53-2.55, 2 Co 2.62, 2 Ni 2.82
21 Ni 0.2772 0.2772 0.5544  4 Ta 2.51-2.58, 2 Co 2.62
22 Ni 0.7228 0.7228 0.4456  4 Ta 2.51-2.58, 2 Co 2.62
23 Ni 0.5272 0.0272 0.0544  4 Ta 2.51-2.58, 2 Co 2.62
24 Ni 0.9729 0.4728 0.9456  4 Ta 2.51-2.58, 2 Co 2.62

Calculated values
The total DFT energy (no corrections) comes out at -199.64 eV per cell. Its space group is No. 141. The formation energy comes out at 0.149 eV/atom. The value obtained for the density of states at the Fermi level is 1.077 states/eV per atom.

=====

No. 9
Material: Cu2HgSeO6
Method: DFT, GGA-PBE
State: optimized geometry

Cell: 6.8249 7.0888 7.0888 Å, 65.16 69.83 69.83°
Closest atoms and distances in Å follow each position.
Atoms (fractional coordinates):
1 Cu 0.3408 0.7886 0.6658  4 O 1.81-1.95
2 Cu 0.1592 0.3342 0.2114  4 O 1.81-1.95
3 Cu 0.6592 0.2114 0.3342  4 O 1.81-1.95
4 Cu 0.8408 0.6658 0.7886  4 O 1.81-1.95
5 Hg 0.2500 0.7609 0.2391  2 O 2.08
6 Hg 0.7500 0.2391 0.7609  2 O 2.08
7 Se 0.2500 0.2457 0.7543  2 O 1.73
8 Se 0.7500 0.7543 0.2457  2 O 1.73
9 O 0.1973 0.0053 0.8016  1 Se 1.73
10 O 0.3027 0.1984 0.9947  1 Se 1.73
11 O 0.8027 0.9947 0.1984  1 Se 1.73
12 O 0.6973 0.8016 0.0053  1 Se 1.73
13 O 0.4335 0.8430 0.3614  1 Cu 1.93, 1 Se 2.00, 1 Hg 2.08
14 O 0.0665 0.6386 0.1570  1 Cu 1.93, 1 Se 2.00, 1 Hg 2.08
15 O 0.5665 0.1570 0.6386  1 Cu 1.93, 1 Se 2.00, 1 Hg 2.08
16 O 0.9335 0.3614 0.8430  1 Cu 1.93, 1 Se 2.00, 1 Hg 2.08
17 O 0.1132 0.7013 0.6752  2 Cu 1.81-1.83
18 O 0.3868 0.3248 0.2987  2 Cu 1.81-1.83
19 O 0.8868 0.2987 0.3248  2 Cu 1.81-1.83
20 O 0.6132 0.6752 0.7013  2 Cu 1.81-1.83

Calculated values
The total DFT energy (no corrections) comes out at -89.90 eV per cell. Its space group is No. 15. The value obtained for the density of states at the Fermi level is 0.664 states/eV per atom. The calculation puts the raw formation energy at -0.32 eV per atom.

=====

No. 10
Material: Mn5Tc4
Method: DFT, GGA-PBE
State: optimized geometry

Cell: 7.2007 7.2007 5.1679 Å, 90.00 90.00 60.00°
Closest atoms and distances in Å follow each position.
Atoms (fractional coordinates):
1 Mn 0.3312 0.6688 0.2500  5 Tc 2.35-2.59
2 Mn 0.0000 0.3312 0.2500  5 Tc 2.35-2.59
3 Mn 0.6688 0.0000 0.2500  5 Tc 2.35-2.59
4 Mn 0.6688 0.3312 0.7500  5 Tc 2.35-2.59
5 Mn 0.0000 0.6688 0.7500  5 Tc 2.35-2.59
6 Mn 0.3312 0.0000 0.7500  5 Tc 2.35-2.59
7 Mn 0.3333 0.3333 0.0000  8 Mn 2.58-2.73, 6 Tc 2.70
8 Mn 0.6667 0.6667 0.5000  8 Mn 2.58-2.73, 6 Tc 2.70
9 Mn 0.6667 0.6667 0.0000  8 Mn 2.58-2.73, 6 Tc 2.70
10 Mn 0.3333 0.3333 0.5000  8 Mn 2.58-2.73, 6 Tc 2.70
11 Tc 0.0000 0.0000 0.0000  8 Tc 2.58-2.78, 6 Mn 2.71
12 Tc 0.0000 0.0000 0.5000  8 Tc 2.58-2.78, 6 Mn 2.71
13 Tc 0.6581 0.3419 0.2500  5 Mn 2.35-2.59
14 Tc 0.0000 0.6581 0.2500  5 Mn 2.35-2.59
15 Tc 0.3419 0.0000 0.2500  5 Mn 2.35-2.59
16 Tc 0.3419 0.6581 0.7500  5 Mn 2.35-2.59
17 Tc 0.0000 0.3419 0.7500  5 Mn 2.35-2.59
18 Tc 0.6581 0.0000 0.7500  5 Mn 2.35-2.59

Calculated values
The total DFT energy (no corrections) comes out at -172.07 eV per cell. As for the polymorph energy (0 for the lowest one): 42 meV per atom. Its space group is No. 193. The formation energy comes out at 0.142 eV/atom. The value obtained for the density of states at the Fermi level is 1.131 states/eV per atom.

=====

No. 11
Material: PmAgPb2
Method: DFT, GGA-PBE
State: optimized geometry

Cell: 5.3560 5.3560 5.3560 Å, 60.00 60.00 60.00°
Closest atoms and distances in Å follow each position.
Atoms (fractional coordinates):
1 Pb 0.2500 0.2500 0.2500  4 Pm 3.28, 4 Ag 3.28
2 Pb 0.7500 0.7500 0.7500  4 Ag 3.28, 4 Pm 3.28
3 Ag 0.5000 0.5000 0.5000  8 Pb 3.28
4 Pm 0.0000 0.0000 0.0000  8 Pb 3.28

Calculated values
The total DFT energy (no corrections) comes out at -15.65 eV per cell. As for the polymorph energy (0 for the lowest one): 177 meV per atom. Its space group is No. 225. The formation energy comes out at -0.159 eV/atom. The value obtained for the density of states at the Fermi level is 0.144 states/eV per atom.

=====

No. 12
Material: RbSnS2N
Method: DFT, GGA-PBE
State: optimized geometry

Cell: 5.7444 5.7444 4.9628 Å, 90.00 90.00 90.00°
Closest atoms and distances in Å follow each position.
Atoms (fractional coordinates):
1 S 0.0000 0.5000 0.0000  2 Rb 2.87
2 S 0.5000 0.0000 0.0000  2 Rb 2.87
3 Sn 0.5000 0.5000 0.5000  8 S 3.80, 4 N 4.06
4 Rb 0.0000 0.0000 0.0000  2 N 2.48
5 N 0.0000 0.0000 0.5000  2 Rb 2.48

Calculated values
The total DFT energy (no corrections) comes out at -14.11 eV per cell. As for the polymorph energy (0 for the lowest one): 1275 meV per atom. Its space group is No. 123. The value obtained for the density of states at the Fermi level is 0.377 states/eV per atom. The calculation puts the raw formation energy at 1.49 eV per atom.